First-principles (SCAN) data for a crystal of LiVP4H4O14 relaxed with PBEsol, as listed in Alexandria via LeMat-Bulk.

Lattice parameters (Å, degrees): 5.065 9.657 10.036 85.37 81.30 83.06
Each line ends with the local moment (μB).
Fractional positions:
1 Li 0.211 0.221 0.785  0.00
2 Li 0.789 0.779 0.215  0.00
3 V 0.500 0.500 0.500  1.87
4 V 0.000 0.000 0.000  1.83
5 P 0.071 0.455 0.278  0.00
6 P 0.571 0.957 0.775  0.00
7 P 0.929 0.545 0.722  0.00
8 P 0.429 0.043 0.225  0.00
9 P 0.325 0.681 0.076  0.00
10 P 0.826 0.185 0.577  0.00
11 P 0.675 0.319 0.924  0.00
12 P 0.174 0.815 0.423  0.00
13 H 0.209 0.632 0.883  0.00
14 H 0.717 0.134 0.383  0.00
15 H 0.791 0.368 0.117  0.00
16 H 0.283 0.866 0.617  0.00
17 H 0.893 0.796 0.828  0.00
18 H 0.396 0.297 0.329  0.00
19 H 0.107 0.204 0.172  0.00
20 H 0.604 0.703 0.671  0.00
21 O 0.837 0.509 0.378  0.00
22 O 0.336 0.015 0.874  0.00
23 O 0.163 0.491 0.622  0.00
24 O 0.664 0.985 0.126  0.00
25 O 0.021 0.338 0.196  0.00
26 O 0.513 0.838 0.697  0.00
27 O 0.979 0.662 0.804  0.00
28 O 0.487 0.162 0.303  0.00
29 O 0.132 0.817 0.073  0.01
30 O 0.640 0.322 0.572  0.01
31 O 0.868 0.183 0.927  0.01
32 O 0.360 0.678 0.428  0.01
33 O 0.417 0.315 0.873  0.00
34 O 0.919 0.815 0.369  0.00
35 O 0.583 0.685 0.127  0.00
36 O 0.081 0.185 0.631  0.00
37 O 0.133 0.584 0.178  0.00
38 O 0.631 0.085 0.675  0.00
39 O 0.867 0.416 0.822  0.00
40 O 0.369 0.915 0.325  0.00
41 O 0.370 0.619 0.936  0.00
42 O 0.878 0.123 0.436  0.00
43 O 0.630 0.381 0.064  0.00
44 O 0.122 0.877 0.564  0.00
45 O 0.326 0.405 0.351  0.00
46 O 0.823 0.906 0.850  0.00
47 O 0.674 0.595 0.649  0.00
48 O 0.177 0.094 0.150  0.00

Summary:
Symmetry ... P-1, No. 2
Total energy ... -8.888 eV/atom
Crystal system ... triclinic
M_tot ... 0.0833 μB per atom

=====

First-principles (SCAN) data for a crystal of LiV2P2HO9 relaxed with PBEsol, as listed in Alexandria via LeMat-Bulk.

Lattice parameters (Å, degrees): 6.263 6.691 8.624 90.00 108.59 90.00
Each line ends with the local moment (μB).
Fractional positions:
1 Li 0.903 0.250 0.133  0.00
2 Li 0.097 0.750 0.867  0.00
3 V 0.513 0.250 0.714  1.94
4 V 0.487 0.750 0.286  1.94
5 V 0.500 0.500 0.000  1.79
6 V 0.500 0.000 0.000  1.79
7 P 0.082 0.250 0.800  0.00
8 P 0.427 0.750 0.661  0.01
9 P 0.573 0.250 0.339  0.01
10 P 0.918 0.750 0.200  0.00
11 H 0.039 0.750 0.510  0.00
12 H 0.961 0.250 0.490  0.00
13 O 0.170 0.440 0.904  0.00
14 O 0.170 0.060 0.904  0.00
15 O 0.163 0.750 0.623  0.00
16 O 0.172 0.250 0.650  0.01
17 O 0.171 0.750 0.263  0.00
18 O 0.591 0.250 0.952  -0.04
19 O 0.514 0.562 0.769  0.01
20 O 0.514 0.938 0.769  0.01
21 O 0.482 0.250 0.480  0.01
22 O 0.518 0.750 0.520  0.01
23 O 0.486 0.438 0.231  0.01
24 O 0.486 0.062 0.231  0.01
25 O 0.409 0.750 0.048  -0.04
26 O 0.829 0.250 0.737  0.00
27 O 0.828 0.750 0.350  0.01
28 O 0.837 0.250 0.377  0.00
29 O 0.830 0.940 0.096  0.00
30 O 0.830 0.560 0.096  0.00

Summary:
Symmetry ... P2_1/m, No. 11
Total energy ... -10.262 eV/atom
Crystal system ... monoclinic
M_tot ... 0.2667 μB per atom

=====

First-principles (SCAN) data for a crystal of Li3VP2H2O9 relaxed with PBEsol, as listed in Alexandria via LeMat-Bulk.

Lattice parameters (Å, degrees): 6.617 7.066 7.987 116.25 93.96 90.00
Each line ends with the local moment (μB).
Fractional positions:
1 Li 0.705 0.623 0.247  0.00
2 Li 0.500 0.000 0.500  0.00
3 Li 0.500 0.500 0.500  0.00
4 Li 0.295 0.377 0.753  0.00
5 Li 0.000 0.238 0.000  0.00
6 Li 0.000 0.762 0.000  0.00
7 V 0.000 0.500 0.500  1.87
8 V 0.000 0.000 0.500  1.87
9 P 0.681 0.123 0.245  0.01
10 P 0.235 0.606 0.212  0.01
11 P 0.765 0.394 0.788  0.01
12 P 0.319 0.877 0.755  0.01
13 H 0.346 0.045 0.091  0.00
14 H 0.228 0.190 0.379  0.01
15 H 0.772 0.810 0.621  0.01
16 H 0.654 0.955 0.909  0.00
17 O 0.778 0.028 0.056  0.00
18 O 0.244 0.500 0.001  0.00
19 O 0.444 0.113 0.226  0.00
20 O 0.739 0.360 0.356  0.00
21 O 0.739 0.996 0.356  0.00
22 O 0.440 0.665 0.331  0.00
23 O 0.110 0.450 0.261  0.00
24 O 0.110 0.811 0.261  0.00
25 O 0.876 0.764 0.528  -0.01
26 O 0.124 0.236 0.472  -0.01
27 O 0.890 0.189 0.739  0.00
28 O 0.890 0.550 0.739  0.00
29 O 0.560 0.335 0.669  0.00
30 O 0.261 0.640 0.644  0.00
31 O 0.261 0.004 0.644  0.00
32 O 0.556 0.887 0.774  0.00
33 O 0.756 0.500 0.999  0.00
34 O 0.222 0.972 0.944  0.00

Summary:
Symmetry ... C2/m, No. 12
Total energy ... -8.710 eV/atom
Crystal system ... monoclinic
M_tot ... 0.1176 μB per atom

=====

First-principles (SCAN) data for a crystal of Li3VP2HO8 relaxed with PBEsol, as listed in Alexandria via LeMat-Bulk.

Lattice parameters (Å, degrees): 4.984 5.037 6.137 90.06 90.23 113.66
Each line ends with the local moment (μB).
Fractional positions:
1 Li 0.000 0.000 0.500  0.00
2 Li 0.616 0.222 0.760  0.00
3 Li 0.384 0.778 0.240  0.00
4 V 0.000 0.000 0.000  2.68
5 P 0.640 0.361 0.245  0.01
6 P 0.360 0.639 0.755  0.01
7 H 0.000 0.500 0.500  0.00
8 O 0.758 0.248 0.053  0.01
9 O 0.242 0.752 0.947  0.01
10 O 0.775 0.296 0.462  0.00
11 O 0.225 0.704 0.538  0.00
12 O 0.304 0.195 0.260  0.00
13 O 0.696 0.805 0.740  0.00
14 O 0.267 0.306 0.766  0.00
15 O 0.733 0.694 0.234  0.00

Summary:
Symmetry ... P-1, No. 2
Total energy ... -8.995 eV/atom
Crystal system ... triclinic
M_tot ... 0.2000 μB per atom
Fermi-level density of states ... 0.0 states/eV/cell

=====

First-principles (SCAN) data for a crystal of Li2VP4H16O20 relaxed with PBEsol, as listed in Alexandria via LeMat-Bulk.

Lattice parameters (Å, degrees): 6.949 10.409 10.732 90.00 101.38 90.00
Each line ends with the local moment (μB).
Fractional positions:
1 Li 0.736 0.165 0.949  0.00
2 Li 0.764 0.665 0.551  0.00
3 Li 0.236 0.335 0.449  0.00
4 Li 0.264 0.835 0.051  0.00
5 V 0.500 0.500 0.000  2.69
6 V 0.000 0.000 0.500  2.69
7 P 0.730 0.268 0.412  0.00
8 P 0.770 0.768 0.088  0.00
9 P 0.737 0.456 0.777  0.00
10 P 0.763 0.956 0.723  0.00
11 P 0.237 0.044 0.277  0.00
12 P 0.263 0.544 0.223  0.00
13 P 0.230 0.232 0.912  0.00
14 P 0.270 0.732 0.588  0.00
15 H 0.642 0.902 0.399  0.00
16 H 0.641 0.546 0.307  0.00
17 H 0.632 0.953 0.106  0.00
18 H 0.671 0.131 0.183  0.00
19 H 0.690 0.328 0.155  0.00
20 H 0.580 0.782 0.720  0.00
21 H 0.810 0.828 0.345  0.00
22 H 0.829 0.631 0.317  0.00
23 H 0.670 0.089 0.566  0.00
24 H 0.654 0.409 0.553  0.00
25 H 0.868 0.453 0.394  0.00
26 H 0.859 0.046 0.193  0.00
27 H 0.858 0.402 0.101  0.00
28 H 0.846 0.909 0.947  0.00
29 H 0.830 0.589 0.934  0.00
30 H 0.920 0.282 0.780  0.00
31 H 0.080 0.718 0.220  0.00
32 H 0.170 0.411 0.066  0.00
33 H 0.154 0.091 0.053  0.00
34 H 0.142 0.598 0.899  0.00
35 H 0.141 0.954 0.807  0.00
36 H 0.132 0.547 0.606  0.00
37 H 0.346 0.591 0.447  0.00
38 H 0.330 0.911 0.434  0.00
39 H 0.171 0.369 0.683  0.00
40 H 0.190 0.172 0.655  0.00
41 H 0.420 0.218 0.280  0.00
42 H 0.310 0.672 0.845  0.00
43 H 0.329 0.869 0.817  0.00
44 H 0.368 0.047 0.894  0.00
45 H 0.359 0.454 0.693  0.00
46 H 0.358 0.098 0.601  0.00
47 O 0.582 0.343 0.478  0.00
48 O 0.624 0.246 0.273  0.00
49 O 0.583 0.854 0.085  0.00
50 O 0.536 0.478 0.810  0.00
51 O 0.767 0.568 0.370  0.00
52 O 0.775 0.864 0.425  0.00
53 O 0.789 0.143 0.483  0.00
54 O 0.711 0.643 0.017  0.00
55 O 0.725 0.364 0.075  0.00
56 O 0.733 0.068 0.130  0.00
57 O 0.604 0.038 0.631  0.00
58 O 0.716 0.808 0.699  0.00
59 O 0.917 0.354 0.415  0.00
60 O 0.751 0.990 0.859  0.00
61 O 0.876 0.746 0.227  0.00
62 O 0.749 0.490 0.641  0.00
63 O 0.784 0.308 0.801  0.00
64 O 0.918 0.843 0.022  0.00
65 O 0.896 0.538 0.869  0.00
66 O 0.036 0.022 0.310  0.00
67 O 0.964 0.978 0.690  0.00
68 O 0.104 0.462 0.131  0.00
69 O 0.082 0.157 0.978  0.00
70 O 0.216 0.692 0.199  0.00
71 O 0.251 0.510 0.359  0.00
72 O 0.124 0.254 0.773  0.00
73 O 0.249 0.010 0.141  0.00
74 O 0.083 0.646 0.585  0.00
75 O 0.284 0.192 0.301  0.00
76 O 0.396 0.962 0.369  0.00
77 O 0.267 0.932 0.870  0.00
78 O 0.275 0.636 0.925  0.00
79 O 0.289 0.357 0.983  0.00
80 O 0.211 0.857 0.517  0.00
81 O 0.225 0.136 0.575  0.00
82 O 0.233 0.432 0.630  0.00
83 O 0.464 0.522 0.190  0.00
84 O 0.417 0.146 0.915  0.00
85 O 0.376 0.754 0.727  0.00
86 O 0.418 0.657 0.522  0.00

Summary:
Symmetry ... P2_1/c, No. 14
Total energy ... -7.369 eV/atom
Crystal system ... monoclinic
M_tot ... 0.0698 μB per atom
Fermi-level density of states ... 0.0 states/eV/cell

=====

First-principles (SCAN) data for a crystal of LiVP3H8O13 relaxed with PBEsol, as listed in Alexandria via LeMat-Bulk.

Lattice parameters (Å, degrees): 6.913 7.391 9.952 85.72 79.11 80.05
Each line ends with the local moment (μB).
Fractional positions:
1 P 0.294 0.801 0.745  0.01
2 P 0.251 0.829 0.461  0.01
3 P 0.581 0.466 0.721  0.00
4 P 0.419 0.534 0.279  0.00
5 P 0.749 0.171 0.539  0.01
6 P 0.706 0.199 0.255  0.01
7 H 0.354 0.964 0.969  0.00
8 H 0.887 0.763 0.420  0.00
9 H 0.309 0.850 0.108  0.00
10 H 0.930 0.705 0.205  0.00
11 H 0.689 0.701 0.386  0.00
12 H 0.853 0.660 0.023  0.00
13 H 0.630 0.621 0.023  0.00
14 H 0.103 0.610 0.087  0.00
15 H 0.897 0.390 0.913  0.00
16 H 0.370 0.379 0.977  0.00
17 H 0.147 0.340 0.977  0.00
18 H 0.311 0.299 0.614  0.00
19 H 0.070 0.295 0.795  0.00
20 H 0.691 0.150 0.892  0.00
21 H 0.113 0.237 0.580  0.00
22 H 0.646 0.036 0.031  0.00
23 Li 0.000 0.000 0.000  0.00
24 Li 0.000 0.500 0.500  0.00
25 O 0.438 0.868 0.818  0.00
26 O 0.271 0.975 0.063  0.00
27 O 0.250 0.986 0.360  0.00
28 O 0.339 0.882 0.589  0.00
29 O 0.077 0.837 0.806  0.00
30 O 0.991 0.715 0.103  0.00
31 O 0.835 0.687 0.360  0.00
32 O 0.762 0.623 0.961  0.00
33 O 0.740 0.584 0.673  0.00
34 O 0.069 0.744 0.512  0.00
35 O 0.431 0.664 0.401  0.00
36 O 0.360 0.583 0.728  0.00
37 O 0.420 0.647 0.148  0.00
38 O 0.580 0.353 0.852  0.00
39 O 0.640 0.417 0.272  0.00
40 O 0.569 0.336 0.599  0.00
41 O 0.931 0.256 0.488  0.00
42 O 0.260 0.416 0.327  0.00
43 O 0.238 0.377 0.039  0.00
44 O 0.165 0.313 0.640  0.00
45 O 0.009 0.285 0.897  0.00
46 O 0.923 0.163 0.194  0.00
47 O 0.661 0.118 0.411  0.00
48 O 0.750 0.014 0.640  0.00
49 O 0.729 0.025 0.937  0.00
50 O 0.562 0.132 0.182  0.00
51 V 0.758 0.816 0.796  2.69
52 V 0.242 0.184 0.204  2.69

Summary:
Symmetry ... P-1, No. 2
Total energy ... -7.938 eV/atom
Crystal system ... triclinic
M_tot ... 0.1154 μB per atom
Fermi-level density of states ... 0.0 states/eV/cell

=====

First-principles (SCAN) data for a crystal of LiVP2H2O8 relaxed with PBEsol, as listed in Alexandria via LeMat-Bulk.

Lattice parameters (Å, degrees): 8.538 9.101 9.360 108.61 106.14 111.48
Each line ends with the local moment (μB).
Fractional positions:
1 Li 0.586 0.250 0.368  0.00
2 Li 0.100 0.781 0.390  0.00
3 Li 0.718 0.881 0.632  0.00
4 Li 0.210 0.391 0.610  0.00
5 V 0.624 0.580 0.216  1.83
6 V 0.907 0.364 0.784  1.83
7 V 0.366 0.849 0.710  1.90
8 V 0.156 0.139 0.290  1.90
9 P 0.313 0.146 0.001  0.01
10 P 0.886 0.593 0.559  0.01
11 P 0.812 0.145 0.999  0.01
12 P 0.443 0.191 0.633  0.01
13 P 0.827 0.034 0.441  0.01
14 P 0.311 0.558 0.367  0.01
15 P 0.920 0.706 0.064  0.01
16 P 0.357 0.642 0.936  0.01
17 H 0.412 0.331 0.850  0.00
18 H 0.656 0.281 0.073  0.00
19 H 0.063 0.481 0.150  0.00
20 H 0.083 0.207 0.927  0.00
21 H 0.826 0.715 0.776  0.00
22 H 0.328 0.881 0.003  0.00
23 H 0.550 0.939 0.224  0.00
24 H 0.825 0.878 0.997  0.00
25 O 0.323 0.165 0.172  -0.01
26 O 0.127 0.121 0.881  0.00
27 O 0.325 0.980 0.909  0.01
28 O 0.333 0.997 0.600  0.00
29 O 0.483 0.315 0.027  0.00
30 O 0.651 0.993 0.828  -0.01
31 O 0.746 0.240 0.119  0.00
32 O 0.840 0.725 0.674  0.00
33 O 0.916 0.071 0.091  0.01
34 O 0.730 0.504 0.378  -0.01
35 O 0.373 0.310 0.729  0.00
36 O 0.404 0.201 0.467  0.01
37 O 0.652 0.273 0.745  -0.01
38 O 0.233 0.397 0.400  0.00
39 O 0.080 0.699 0.569  0.00
40 O 0.956 0.287 0.973  0.00
41 O 0.823 0.611 0.149  -0.01
42 O 0.665 0.051 0.326  0.00
43 O 0.852 0.126 0.622  -0.01
44 O 0.144 0.581 0.271  0.00
45 O 0.793 0.744 0.938  0.00
46 O 0.436 0.733 0.533  0.01
47 O 0.979 0.594 0.958  0.00
48 O 0.407 0.529 0.255  -0.01
49 O 0.010 0.129 0.431  0.00
50 O 0.866 0.441 0.604  0.01
51 O 0.174 0.462 0.851  -0.01
52 O 0.086 0.887 0.211  -0.01
53 O 0.355 0.806 0.062  0.00
54 O 0.521 0.637 0.042  0.00
55 O 0.762 0.837 0.396  0.01
56 O 0.375 0.676 0.789  -0.01

Summary:
Symmetry ... Cc, No. 9
Polymorph energy (0 for the lowest one) ... 1.1 kJ per mole of atoms
Total energy ... -9.218 eV/atom
Crystal system ... monoclinic
M_tot ... 0.1429 μB per atom

=====

First-principles (SCAN) data for a crystal of Li2VPHO5 relaxed with PBEsol, as listed in Alexandria via LeMat-Bulk.

Lattice parameters (Å, degrees): 5.279 5.480 7.456 110.45 107.89 94.69
Each line ends with the local moment (μB).
Fractional positions:
1 Li 0.327 0.698 0.839  0.00
2 Li 0.673 0.302 0.161  0.00
3 Li 0.928 0.307 0.695  0.00
4 Li 0.072 0.693 0.305  0.00
5 V 0.000 0.000 0.000  2.67
6 V 0.500 0.500 0.500  2.68
7 P 0.570 0.868 0.242  0.01
8 P 0.430 0.132 0.758  0.01
9 H 0.038 0.271 0.370  0.01
10 H 0.962 0.729 0.630  0.01
11 O 0.903 0.667 0.723  0.00
12 O 0.097 0.333 0.277  0.00
13 O 0.674 0.161 0.404  0.01
14 O 0.326 0.839 0.596  0.01
15 O 0.317 0.329 0.662  0.00
16 O 0.683 0.671 0.338  0.00
17 O 0.681 0.843 0.069  0.01
18 O 0.319 0.157 0.931  0.01
19 O 0.256 0.793 0.147  0.00
20 O 0.744 0.207 0.853  0.00

Summary:
Symmetry ... P-1, No. 2
Total energy ... -9.025 eV/atom
Crystal system ... triclinic
M_tot ... 0.3000 μB per atom
Fermi-level density of states ... 0.0 states/eV/cell

=====

> Among the records above, which one has the lowest total energy?

LiV2P2HO9

=====

> Which value of M_tot does entry 2 give?

0.2667 μB per atom

=====

> total energy of number 7 (LiVP2H2O8)?

-9.218 eV/atom

=====

> Which of these has the highest total energy?

Li2VP4H16O20